Entry 1:
Material: Na3TiCu
Method: DFT, GGA-PBE
State: optimized geometry

abc: 5.9043 5.9043 5.9043
angles: 90.00 90.00 90.00
Element x y z (fractional)
Na 0.0000 0.0000 0.5000
Na 0.0000 0.5000 0.0000
Cu 0.5000 0.5000 0.5000
Na 0.5000 0.0000 0.0000
Ti 0.0000 0.0000 0.0000

## Properties
- Distance to the lowest polymorph of the same formula: 0.3425 eV per atom
- Magnetic moment: 3.87 μB/cell
- Symmetry: Pm-3m
- Energy of formation from the pure elements: 6.7 eV per formula unit

=====

Entry 2:
Material: NaTl2Cu
Method: DFT, GGA-PBE
State: optimized geometry

abc: 3.5010 3.5010 7.7936
angles: 90.00 90.00 90.00
Element x y z (fractional)
Tl 0.0000 0.0000 0.7912
Na 0.5000 0.5000 0.5000
Cu 0.5000 0.5000 0.0000
Tl 0.0000 0.0000 0.2088

## Properties
- Magnetic moment: 0.00 μB/cell
- Symmetry: P4/mmm
- Energy of formation from the pure elements: 0.3 eV per formula unit

=====

Entry 3:
Material: NaTl3Cu
Method: DFT, GGA-PBE
State: optimized geometry

abc: 5.6211 5.6211 5.6211
angles: 90.00 90.00 90.00
Element x y z (fractional)
Na 0.0000 0.0000 0.0000
Tl 0.0000 0.5000 0.0000
Tl 0.0000 0.0000 0.5000
Cu 0.5000 0.5000 0.5000
Tl 0.5000 0.0000 0.0000

## Properties
- Distance to the lowest polymorph of the same formula: 0.6041 eV per atom
- Magnetic moment: 0.00 μB/cell
- Symmetry: Pm-3m
- Energy of formation from the pure elements: 3.6 eV per formula unit

=====

Entry 4:
Material: NaTl2Cu
Method: DFT, GGA-PBE
State: optimized geometry

abc: 4.6077 4.6077 10.5626
angles: 77.40 77.40 90.00
Element x y z (fractional)
Na 0.2500 0.7500 0.5000
Na 0.5000 0.5000 0.0000
Tl 0.3750 0.3500 0.7500
Tl 0.6500 0.1250 0.2500
Tl 0.1000 0.6250 0.2500
Cu 0.7500 0.2500 0.5000
Tl 0.8750 0.9000 0.7500
Cu 0.0000 0.0000 0.0000

## Properties
- Magnetic moment: 0.00 μB/cell
- Symmetry: I-42d
- Energy of formation from the pure elements: 1.0 eV per formula unit

=====

Entry 5:
Material: Na2Tl2Cu
Method: DFT, GGA-PBE
State: optimized geometry

abc: 7.1312 7.1312 5.3652
angles: 90.00 90.00 90.00
Element x y z (fractional)
Na 0.6697 0.8303 0.5000
Tl 0.8455 0.6545 0.0000
Tl 0.6545 0.1545 0.0000
Na 0.3303 0.1697 0.5000
Tl 0.3455 0.8455 0.0000
Na 0.1697 0.6697 0.5000
Tl 0.1545 0.3455 0.0000
Na 0.8303 0.3303 0.5000
Cu 0.0000 0.0000 0.0000
Cu 0.5000 0.5000 0.0000

## Properties
- Distance to the lowest polymorph of the same formula: 0.0000 eV per atom
- Magnetic moment: 0.00 μB/cell
- Symmetry: P4/mbm
- Energy of formation from the pure elements: 0.3 eV per formula unit

=====

Entry 6:
Material: NaTlCu2
Method: DFT, GGA-PBE
State: optimized geometry

abc: 7.6728 7.6728 6.1248
angles: 51.22 51.22 90.00
Element x y z (fractional)
Na 0.2500 0.7500 0.5000
Cu 0.3750 0.3557 0.7500
Cu 0.6443 0.1250 0.2500
Cu 0.8750 0.8943 0.7500
Cu 0.1057 0.6250 0.2500
Na 0.5000 0.5000 0.0000
Tl 0.0000 0.0000 0.0000
Tl 0.7500 0.2500 0.5000

## Properties
- Magnetic moment: 0.00 μB/cell
- Symmetry: I-42d
- Energy of formation from the pure elements: 1.7 eV per formula unit

=====

- Look up the magnetic moment of the third one.
  0.00 μB/cell

=====

- Which value of magnetic moment does entry 6 give?
  0.00 μB/cell